MgB2Pd | GGA-PBE | optimized geometry

* electronic total energy: -78.185 eV for the cell shown

CIF file:
```
data_MgB2Pd
_cell_length_a 3.629
_cell_length_b 3.629
_cell_length_c 15.715
_cell_angle_alpha 90.00
_cell_angle_beta 90.00
_cell_angle_gamma 90.00
_space_group_name_H-M_alt 'I 41/a m d'
_space_group_IT_number 141
loop_
_space_group_symop_operation_xyz
'x,y,z'
'-x,-y,-z'
'-y+1/4,x+3/4,z+1/4'
'y+1/4,-x+3/4,-z+1/4'
'-x+1/2,-y,z+1/2'
'x+1/2,y,-z+1/2'
'y+1/4,-x+1/4,z+3/4'
'-y+1/4,x+1/4,-z+3/4'
'x,-y,-z'
'-x,y,z'
'-y+1/4,-x+1/4,-z+3/4'
'y+1/4,x+1/4,z+3/4'
'-x+1/2,y,-z+1/2'
'x+1/2,-y,z+1/2'
'y+1/4,x+3/4,-z+1/4'
'-y+1/4,-x+3/4,z+1/4'
'x+1/2,y+1/2,z+1/2'
'-x+1/2,-y+1/2,-z+1/2'
'-y+3/4,x+1/4,z+3/4'
'y+3/4,-x+1/4,-z+3/4'
'-x,-y+1/2,z'
'x,y+1/2,-z'
'y+3/4,-x+3/4,z+1/4'
'-y+3/4,x+3/4,-z+1/4'
'x+1/2,-y+1/2,-z+1/2'
'-x+1/2,y+1/2,z+1/2'
'-y+3/4,-x+3/4,-z+1/4'
'y+3/4,x+3/4,z+1/4'
'-x,y+1/2,-z'
'x,-y+1/2,z'
'y+3/4,x+1/4,-z+3/4'
'-y+3/4,-x+1/4,z+3/4'
loop_
_atom_site_label
_atom_site_type_symbol
_atom_site_fract_x
_atom_site_fract_y
_atom_site_fract_z
_atom_site_occupancy
Mg1 Mg 0.000 0.250 0.375 1
B1 B 0.000 0.000 0.000 1
Pd1 Pd 0.000 0.250 0.875 1
```


Na3CaSn | GGA-PBE | optimized geometry

* electronic total energy: -6.433 eV for the cell shown
* polymorph energy (0 for the lowest one): 574 meV per atom

CIF file:
```
data_Na3CaSn
_cell_length_a 6.002
_cell_length_b 6.002
_cell_length_c 6.002
_cell_angle_alpha 90.00
_cell_angle_beta 90.00
_cell_angle_gamma 90.00
_space_group_name_H-M_alt 'P m -3 m'
_space_group_IT_number 221
_space_group_name_Hall '-P 4 2 3'
loop_
_atom_site_label
_atom_site_type_symbol
_atom_site_fract_x
_atom_site_fract_y
_atom_site_fract_z
_atom_site_occupancy
Na1 Na 0.000 0.000 0.500 1
Ca1 Ca 0.000 0.000 0.000 1
Sn1 Sn 0.500 0.500 0.500 1
```


GaSeBr2O | GGA-PBE | optimized geometry

* electronic total energy: -13.386 eV for the cell shown
* raw formation energy: 0.286 eV per atom
* polymorph energy (0 for the lowest one): 138 meV per atom

CIF file:
```
data_GaSeBr2O
_cell_length_a 5.004
_cell_length_b 5.004
_cell_length_c 4.339
_cell_angle_alpha 90.00
_cell_angle_beta 90.00
_cell_angle_gamma 90.00
_space_group_name_H-M_alt 'P 4/m m m'
_space_group_IT_number 123
_space_group_name_Hall '-P 4 2'
loop_
_atom_site_label
_atom_site_type_symbol
_atom_site_fract_x
_atom_site_fract_y
_atom_site_fract_z
_atom_site_occupancy
Ga1 Ga 0.000 0.000 0.000 1
Se1 Se 0.500 0.500 0.000 1
Br1 Br 0.000 0.500 0.500 1
O1 O 0.500 0.500 0.500 1
```


LiCaPrSm | GGA-PBE | optimized geometry

* electronic total energy: -50.283 eV for the cell shown

CIF file:
```
data_LiCaPrSm
_cell_length_a 8.111
_cell_length_b 8.111
_cell_length_c 8.111
_cell_angle_alpha 90.00
_cell_angle_beta 90.00
_cell_angle_gamma 90.00
_space_group_name_H-M_alt 'F -4 3 m'
_space_group_IT_number 216
_space_group_name_Hall 'F -4 2 3'
loop_
_atom_site_label
_atom_site_type_symbol
_atom_site_fract_x
_atom_site_fract_y
_atom_site_fract_z
_atom_site_occupancy
Li1 Li 0.000 0.000 0.000 1
Ca1 Ca 0.250 0.250 0.250 1
Pr1 Pr 0.250 0.250 0.750 1
Sm1 Sm 0.000 0.000 0.500 1
```


BPd | GGA-PBE | optimized geometry

* electronic total energy: -66.209 eV for the cell shown

CIF file:
```
data_BPd
_cell_length_a 3.383
_cell_length_b 9.803
_cell_length_c 5.239
_cell_angle_alpha 90.00
_cell_angle_beta 90.00
_cell_angle_gamma 90.00
_space_group_name_H-M_alt 'A m m 2'
_space_group_IT_number 38
_space_group_name_Hall 'A 2 -2'
loop_
_atom_site_label
_atom_site_type_symbol
_atom_site_fract_x
_atom_site_fract_y
_atom_site_fract_z
_atom_site_occupancy
B1 B 0.000 0.000 0.000 1
B2 B 0.500 0.224 0.327 1
Pd1 Pd 0.000 0.206 0.037 1
Pd2 Pd 0.500 0.000 0.246 1
```


BaIn3Pt | GGA-PBE | optimized geometry

* electronic total energy: -75.287 eV for the cell shown

CIF file:
```
data_BaIn3Pt
_cell_length_a 9.224
_cell_length_b 4.721
_cell_length_c 12.387
_cell_angle_alpha 90.00
_cell_angle_beta 90.00
_cell_angle_gamma 90.00
_space_group_name_H-M_alt 'P n m a'
_space_group_IT_number 62
_space_group_name_Hall '-P 2ac 2n'
loop_
_atom_site_label
_atom_site_type_symbol
_atom_site_fract_x
_atom_site_fract_y
_atom_site_fract_z
_atom_site_occupancy
Ba1 Ba 0.189 0.250 0.007 1
In1 In 0.058 0.250 0.584 1
In2 In 0.119 0.750 0.789 1
In3 In 0.135 0.750 0.217 1
Pt1 Pt 0.100 0.250 0.358 1
```


Nd3Mg2Au3 | GGA-PBE | optimized geometry

* electronic total energy: -65.114 eV for the cell shown
* polymorph energy (0 for the lowest one): 0 meV per atom

CIF file:
```
data_Nd3Mg2Au3
_cell_length_a 8.8261
_cell_length_b 8.8261
_cell_length_c 5.9551
_cell_angle_alpha 90.00
_cell_angle_beta 90.00
_cell_angle_gamma 120.00
_space_group_name_H-M_alt 'P 63/m c m'
_space_group_IT_number 193
_space_group_name_Hall '-P 6c 2'
loop_
_atom_site_label
_atom_site_type_symbol
_atom_site_fract_x
_atom_site_fract_y
_atom_site_fract_z
_atom_site_occupancy
Nd1 Nd 0.0000 0.2677 0.2500 1
Mg1 Mg 0.3333 0.6667 0.0000 1
Au1 Au 0.0000 0.3926 0.7500 1
```


Ac4Zn5Cu2 | GGA-PBE | optimized geometry

* electronic total energy: -32.830 eV for the cell shown

CIF file:
```
data_Ac4Zn5Cu2
_cell_length_a 7.391
_cell_length_b 4.159
_cell_length_c 9.407
_cell_angle_alpha 90.00
_cell_angle_beta 94.62
_cell_angle_gamma 90.00
_space_group_name_H-M_alt 'P 1 2/m 1'
_space_group_IT_number 10
_space_group_name_Hall '-P 2y'
loop_
_atom_site_label
_atom_site_type_symbol
_atom_site_fract_x
_atom_site_fract_y
_atom_site_fract_z
_atom_site_occupancy
Ac1 Ac 0.180 0.000 0.371 1
Ac2 Ac 0.256 0.000 0.935 1
Zn1 Zn 0.201 0.500 0.657 1
Zn2 Zn 0.443 0.500 0.208 1
Zn3 Zn 0.500 0.500 0.500 1
Cu1 Cu 0.065 0.500 0.132 1
```


Copy entry 1 word for word.
MgB2Pd | GGA-PBE | optimized geometry

* electronic total energy: -78.185 eV for the cell shown

CIF file:
```
data_MgB2Pd
_cell_length_a 3.629
_cell_length_b 3.629
_cell_length_c 15.715
_cell_angle_alpha 90.00
_cell_angle_beta 90.00
_cell_angle_gamma 90.00
_space_group_name_H-M_alt 'I 41/a m d'
_space_group_IT_number 141
loop_
_space_group_symop_operation_xyz
'x,y,z'
'-x,-y,-z'
'-y+1/4,x+3/4,z+1/4'
'y+1/4,-x+3/4,-z+1/4'
'-x+1/2,-y,z+1/2'
'x+1/2,y,-z+1/2'
'y+1/4,-x+1/4,z+3/4'
'-y+1/4,x+1/4,-z+3/4'
'x,-y,-z'
'-x,y,z'
'-y+1/4,-x+1/4,-z+3/4'
'y+1/4,x+1/4,z+3/4'
'-x+1/2,y,-z+1/2'
'x+1/2,-y,z+1/2'
'y+1/4,x+3/4,-z+1/4'
'-y+1/4,-x+3/4,z+1/4'
'x+1/2,y+1/2,z+1/2'
'-x+1/2,-y+1/2,-z+1/2'
'-y+3/4,x+1/4,z+3/4'
'y+3/4,-x+1/4,-z+3/4'
'-x,-y+1/2,z'
'x,y+1/2,-z'
'y+3/4,-x+3/4,z+1/4'
'-y+3/4,x+3/4,-z+1/4'
'x+1/2,-y+1/2,-z+1/2'
'-x+1/2,y+1/2,z+1/2'
'-y+3/4,-x+3/4,-z+1/4'
'y+3/4,x+3/4,z+1/4'
'-x,y+1/2,-z'
'x,-y+1/2,z'
'y+3/4,x+1/4,-z+3/4'
'-y+3/4,-x+1/4,z+3/4'
loop_
_atom_site_label
_atom_site_type_symbol
_atom_site_fract_x
_atom_site_fract_y
_atom_site_fract_z
_atom_site_occupancy
Mg1 Mg 0.000 0.250 0.375 1
B1 B 0.000 0.000 0.000 1
Pd1 Pd 0.000 0.250 0.875 1
```